# 1
Here is an optimized crystal structure of NpIn2Sn from Alexandria via LeMat-Bulk. Energies are from PBE.

```
NpIn2Sn
1.0
3.872 0.000 0.000
0.000 3.872 0.000
0.000 0.000 6.942
Np In Sn
1 2 1
direct
0.000 0.000 0.000 Np
0.500 0.500 0.270 In
0.500 0.500 0.730 In
0.000 0.000 0.500 Sn
```

Calculated values
**Symmetry**: P4/mmm (123)
**Crystal system**: tetragonal
**Energy of formation**: 0.14 eV/atom
**Calculated volume**: 104 Å³ per cell
**ΔE to the lowest computed polymorph**: 0.217 eV/atom
**Energy**: -5.4653 eV per atom


# 2
Here is an optimized crystal structure of KMgHg2Bi from Alexandria via LeMat-Bulk. Energies are from PBE.

```
KMgHg2Bi
1.0
5.631 0.000 0.000
0.000 5.631 0.000
0.000 0.000 5.591
K Mg Hg Bi
1 1 2 1
direct
0.000 0.000 0.000 K
0.500 0.500 0.500 Mg
0.000 0.500 0.500 Hg
0.500 0.000 0.500 Hg
0.500 0.500 0.000 Bi
```

Calculated values
**Symmetry**: P4/mmm (123)
**Crystal system**: tetragonal
**Energy of formation**: -0.13 eV/atom
**Calculated volume**: 177 Å³ per cell
**ΔE to the lowest computed polymorph**: 0.000 eV/atom
**Energy**: -1.5612 eV per atom


# 3
Here is an optimized crystal structure of Zr3W from Alexandria via LeMat-Bulk. Energies are from PBE.

```
Zr3W
1.0
3.075 0.000 0.000
0.000 4.736 0.000
-1.310 0.000 5.716
Zr W
3 1
direct
0.000 0.000 0.000 Zr
0.311 0.500 0.733 Zr
0.689 0.500 0.267 Zr
0.500 0.000 0.500 W
```

Calculated values
**Symmetry**: P2/m (10)
**Crystal system**: monoclinic
**Energy of formation**: 0.14 eV/atom
**Calculated volume**: 83 Å³ per cell
**ΔE to the lowest computed polymorph**: 0.044 eV/atom
**Energy**: -9.5091 eV per atom


# 4
Here is an optimized crystal structure of Mn3FeRu from Alexandria via LeMat-Bulk. Energies are from PBE.

```
Mn3FeRu
1.0
-1.957 2.945 5.312
1.957 -2.945 5.312
1.957 2.945 -5.312
Mn Fe Ru
6 2 2
direct
0.062 0.312 0.750 Mn
0.253 0.178 0.075 Mn
0.397 0.822 0.575 Mn
0.603 0.178 0.425 Mn
0.747 0.822 0.925 Mn
0.938 0.688 0.250 Mn
0.208 0.958 0.250 Fe
0.792 0.042 0.750 Fe
0.000 0.500 0.500 Ru
0.500 0.500 0.000 Ru
```

Calculated values
**Symmetry**: Imma (74)
**Crystal system**: orthorhombic
**Energy of formation**: 0.39 eV/atom
**Calculated volume**: 122 Å³ per cell
**ΔE to the lowest computed polymorph**: 0.000 eV/atom
**Energy**: -8.6640 eV per atom


# 5
Here is an optimized crystal structure of Mn3VS6 from Alexandria via LeMat-Bulk. Energies are from PBE.

```
Mn3VS6
1.0
2.913 1.682 5.392
-2.913 1.682 5.392
0.000 -3.363 5.392
Mn V S
3 1 6
direct
0.000 0.000 0.000 Mn
0.176 0.176 0.176 Mn
0.503 0.503 0.503 Mn
0.674 0.674 0.674 V
0.096 0.413 0.763 S
0.260 0.919 0.585 S
0.413 0.763 0.096 S
0.585 0.260 0.919 S
0.763 0.096 0.413 S
0.919 0.585 0.260 S
```

Calculated values
**Symmetry**: R3 (146)
**Crystal system**: trigonal
**Uncorrected formation energy**: -6.263 eV per formula unit
**Calculated volume**: 158 Å³ per cell
**ΔE to the lowest computed polymorph**: 0.000 eV/atom
**Energy**: -6.7655 eV per atom


# 6
Here is an optimized crystal structure of AcInSnHg from Alexandria via LeMat-Bulk. Energies are from PBE.

```
AcInSnHg
1.0
4.798 0.000 0.000
0.000 4.891 0.000
0.000 0.000 5.021
Ac In Sn Hg
1 1 1 1
direct
0.000 0.000 0.000 Ac
0.000 0.500 0.500 In
0.500 0.500 0.000 Sn
0.500 0.000 0.500 Hg
```

Calculated values
**Symmetry**: Pmmm (47)
**Crystal system**: orthorhombic
**Energy of formation**: -0.44 eV/atom
**Calculated volume**: 118 Å³ per cell
**ΔE to the lowest computed polymorph**: 0.000 eV/atom
**Energy**: -3.2269 eV per atom


# 7
Here is an optimized crystal structure of NdGa3IrPt from Alexandria via LeMat-Bulk. Energies are from PBE.

```
NdGa3IrPt
1.0
4.001 -5.532 0.000
4.001 5.532 0.000
0.000 0.000 5.704
Nd Ga Ir Pt
2 6 2 2
direct
0.203 0.797 0.750 Nd
0.797 0.203 0.250 Nd
0.235 0.235 0.000 Ga
0.235 0.235 0.500 Ga
0.312 0.688 0.250 Ga
0.688 0.312 0.750 Ga
0.765 0.765 0.000 Ga
0.765 0.765 0.500 Ga
0.092 0.908 0.250 Ir
0.908 0.092 0.750 Ir
0.463 0.537 0.750 Pt
0.537 0.463 0.250 Pt
```

Calculated values
**Symmetry**: Cmcm (63)
**Crystal system**: orthorhombic
**Energy of formation**: -0.47 eV/atom
**Calculated volume**: 252 Å³ per cell
**Energy**: -5.2600 eV per atom


# 8
Here is an optimized crystal structure of Li2CaAl2Au2 from Alexandria via LeMat-Bulk. Energies are from PBE.

```
Li2CaAl2Au2
1.0
3.870 -2.246 0.000
3.870 2.246 0.000
-2.605 0.000 7.621
Li Ca Al Au
2 1 2 2
direct
0.140 0.140 0.420 Li
0.860 0.860 0.580 Li
0.000 0.000 0.000 Ca
0.435 0.435 0.303 Al
0.565 0.565 0.697 Al
0.251 0.251 0.755 Au
0.749 0.749 0.245 Au
```

Calculated values
**Symmetry**: C2/m (12)
**Crystal system**: monoclinic
**Energy of formation**: -0.55 eV/atom
**Calculated volume**: 132 Å³ per cell
**Energy**: -3.3874 eV per atom


# 9
Here is an optimized crystal structure of Fe2HgS from Alexandria via LeMat-Bulk. Energies are from PBE.

```
Fe2HgS
1.0
-3.242 3.242 2.952
3.242 -3.242 2.952
3.242 3.242 -2.952
Fe Hg S
4 2 2
direct
0.044 0.125 0.419 Fe
0.375 0.956 0.081 Fe
0.706 0.625 0.581 Fe
0.875 0.294 0.919 Fe
0.250 0.750 0.500 Hg
0.500 0.500 0.000 Hg
0.000 0.000 0.000 S
0.750 0.250 0.500 S
```

Calculated values
**Symmetry**: I-42d (122)
**Crystal system**: tetragonal
**Uncorrected formation energy**: 1.529 eV per formula unit
**Calculated volume**: 124 Å³ per cell
**Energy**: -4.9564 eV per atom


# 10
Here is an optimized crystal structure of TiNi3Au from Alexandria via LeMat-Bulk. Energies are from PBE.

```
TiNi3Au
1.0
4.304 0.000 0.000
0.000 4.304 0.000
0.000 0.000 4.304
Ti Ni Au
1 3 1
direct
0.000 0.000 0.000 Ti
0.000 0.000 0.500 Ni
0.000 0.500 0.000 Ni
0.500 0.000 0.000 Ni
0.500 0.500 0.500 Au
```

Calculated values
**Symmetry**: Pm-3m (221)
**Crystal system**: cubic
**Energy of formation**: 0.83 eV/atom
**Calculated volume**: 80 Å³ per cell
**ΔE to the lowest computed polymorph**: 0.992 eV/atom
**Energy**: -4.8687 eV per atom


# 11
Here is an optimized crystal structure of LaNbHg2 from Alexandria via LeMat-Bulk. Energies are from PBE.

```
LaNbHg2
1.0
-2.265 2.265 10.552
2.265 -2.265 10.552
2.265 2.265 -10.552
La Nb Hg
2 2 4
direct
0.000 0.000 0.000 La
0.750 0.250 0.500 La
0.250 0.750 0.500 Nb
0.500 0.500 0.000 Nb
0.174 0.625 0.049 Hg
0.375 0.424 0.549 Hg
0.576 0.125 0.951 Hg
0.875 0.826 0.451 Hg
```

Calculated values
**Symmetry**: I-42d (122)
**Crystal system**: tetragonal
**Energy of formation**: 0.44 eV/atom
**Calculated volume**: 217 Å³ per cell
**ΔE to the lowest computed polymorph**: 0.316 eV/atom
**Energy**: -3.4637 eV per atom


# 12
Here is an optimized crystal structure of Ho6ZnTc2 from Alexandria via LeMat-Bulk. Energies are from PBE.

```
Ho6ZnTc2
1.0
-4.683 4.714 5.154
4.683 -4.714 5.154
4.683 4.714 -5.154
Ho Zn Tc
12 2 4
direct
0.019 0.833 0.186 Ho
0.249 0.552 0.303 Ho
0.249 0.945 0.697 Ho
0.274 0.317 0.591 Ho
0.274 0.683 0.956 Ho
0.353 0.167 0.186 Ho
0.647 0.833 0.814 Ho
0.726 0.317 0.044 Ho
0.726 0.683 0.409 Ho
0.751 0.055 0.303 Ho
0.751 0.448 0.697 Ho
0.981 0.167 0.814 Ho
0.000 0.500 0.500 Zn
0.500 0.000 0.500 Zn
0.000 0.183 0.183 Tc
0.000 0.817 0.817 Tc
0.386 0.386 0.000 Tc
0.614 0.614 0.000 Tc
```

Calculated values
**Symmetry**: Immm (71)
**Crystal system**: orthorhombic
**Energy of formation**: -0.14 eV/atom
**Calculated volume**: 455 Å³ per cell
**Energy**: -5.6369 eV per atom


# 13
Here is an optimized crystal structure of V2InHg from Alexandria via LeMat-Bulk. Energies are from PBE.

```
V2InHg
1.0
-3.699 3.699 2.782
3.699 -3.699 2.782
3.699 3.699 -2.782
V In Hg
4 2 2
direct
0.122 0.625 0.997 V
0.375 0.372 0.497 V
0.628 0.125 0.003 V
0.875 0.878 0.503 V
0.250 0.750 0.500 In
0.500 0.500 0.000 In
0.000 0.000 0.000 Hg
0.750 0.250 0.500 Hg
```

Calculated values
**Symmetry**: I-42d (122)
**Crystal system**: tetragonal
**Energy of formation**: 0.75 eV/atom
**Calculated volume**: 152 Å³ per cell
**Energy**: -4.5713 eV per atom


# 14
Here is an optimized crystal structure of Tl3CrBr from Alexandria via LeMat-Bulk. Energies are from PBE.

```
Tl3CrBr
1.0
5.457 0.000 0.000
0.000 5.457 0.000
0.000 0.000 5.457
Tl Cr Br
3 1 1
direct
0.000 0.000 0.500 Tl
0.000 0.500 0.000 Tl
0.500 0.000 0.000 Tl
0.000 0.000 0.000 Cr
0.500 0.500 0.500 Br
```

Calculated values
**Symmetry**: Pm-3m (221)
**Crystal system**: cubic
**Uncorrected formation energy**: 0.831 eV per formula unit
**Calculated volume**: 163 Å³ per cell
**ΔE to the lowest computed polymorph**: 0.000 eV/atom
**Energy**: -3.5129 eV per atom


# 15
Here is an optimized crystal structure of FeCo4Si from Alexandria via LeMat-Bulk. Energies are from PBE.

```
FeCo4Si
1.0
0.000 3.265 3.265
3.265 0.000 3.265
3.265 3.265 0.000
Fe Co Si
1 4 1
direct
0.000 0.000 0.000 Fe
0.126 0.625 0.625 Co
0.625 0.126 0.625 Co
0.625 0.625 0.126 Co
0.625 0.625 0.625 Co
0.250 0.250 0.250 Si
```

Calculated values
**Symmetry**: F-43m (216)
**Crystal system**: cubic
**Uncorrected formation energy**: 0.731 eV per formula unit
**Calculated volume**: 70 Å³ per cell
**Energy**: -6.9298 eV per atom


# 16
Here is an optimized crystal structure of CuTcTe from Alexandria via LeMat-Bulk. Energies are from PBE.

```
CuTcTe
1.0
-1.681 1.681 4.294
1.681 -1.681 4.294
1.681 1.681 -4.294
Cu Tc Te
1 1 1
direct
0.000 0.000 0.000 Cu
0.333 0.333 0.000 Tc
0.674 0.674 0.000 Te
```

Calculated values
**Symmetry**: I4mm (107)
**Crystal system**: tetragonal
**Uncorrected formation energy**: 0.758 eV per formula unit
**Calculated volume**: 49 Å³ per cell
**ΔE to the lowest computed polymorph**: 0.110 eV/atom
**Energy**: -5.6151 eV per atom


# 17
Here is an optimized crystal structure of Be3FeMo from Alexandria via LeMat-Bulk. Energies are from PBE.

```
Be3FeMo
1.0
4.191 0.000 0.000
0.000 4.191 0.000
0.000 0.000 4.191
Be Fe Mo
3 1 1
direct
0.000 0.000 0.500 Be
0.000 0.500 0.000 Be
0.500 0.000 0.000 Be
0.500 0.500 0.500 Fe
0.000 0.000 0.000 Mo
```

Calculated values
**Symmetry**: Pm-3m (221)
**Crystal system**: cubic
**Energy of formation**: 1.45 eV/atom
**Calculated volume**: 74 Å³ per cell
**ΔE to the lowest computed polymorph**: 0.825 eV/atom
**Energy**: -4.6436 eV per atom


# 18
Here is an optimized crystal structure of LiLu2Ti from Alexandria via LeMat-Bulk. Energies are from PBE.

```
LiLu2Ti
1.0
3.348 0.000 0.000
0.000 3.348 0.000
0.000 0.000 8.458
Li Lu Ti
1 2 1
direct
0.000 0.000 0.000 Li
0.500 0.500 0.266 Lu
0.500 0.500 0.734 Lu
0.000 0.000 0.500 Ti
```

Calculated values
**Symmetry**: P4/mmm (123)
**Crystal system**: tetragonal
**Energy of formation**: 0.14 eV/atom
**Calculated volume**: 95 Å³ per cell
**ΔE to the lowest computed polymorph**: 0.000 eV/atom
**Energy**: -4.5757 eV per atom


# 19
Here is an optimized crystal structure of TaInI3 from Alexandria via LeMat-Bulk. Energies are from PBE.

```
TaInI3
1.0
5.752 0.000 0.000
0.000 5.752 0.000
0.000 0.000 5.752
Ta In I
1 1 3
direct
0.000 0.000 0.000 Ta
0.500 0.500 0.500 In
0.000 0.000 0.500 I
0.000 0.500 0.000 I
0.500 0.000 0.000 I
```

Calculated values
**Symmetry**: Pm-3m (221)
**Crystal system**: cubic
**Uncorrected formation energy**: 0.893 eV per formula unit
**Calculated volume**: 190 Å³ per cell
**ΔE to the lowest computed polymorph**: 0.000 eV/atom
**Energy**: -3.6698 eV per atom


# 20
Here is an optimized crystal structure of Cs2ErBe2Se4 from Alexandria via LeMat-Bulk. Energies are from PBE.

```
Cs2ErBe2Se4
1.0
7.586 -1.979 0.000
7.586 1.979 0.000
-2.718 0.000 8.088
Cs Er Be Se
2 1 2 4
direct
0.133 0.133 0.038 Cs
0.867 0.867 0.962 Cs
0.000 0.000 0.500 Er
0.329 0.329 0.523 Be
0.671 0.671 0.477 Be
0.202 0.202 0.634 Se
0.466 0.466 0.718 Se
0.534 0.534 0.282 Se
0.798 0.798 0.366 Se
```

Calculated values
**Symmetry**: C2/m (12)
**Crystal system**: monoclinic
**Uncorrected formation energy**: -9.507 eV per formula unit
**Calculated volume**: 243 Å³ per cell
**Energy**: -4.1298 eV per atom